Record 1
A plane-wave DFT calculation with PBE was carried out for an optimized crystal structure of LiCe2Pd4.

## Properties
Raw total energy: -37.68 eV per cell

Lattice parameters (Å, degrees): 8.034 8.034 8.034 148.57 148.57 45.04
Sites, in units of the cell vectors:
1 Li 0.000 0.000 0.000
2 Ce 0.349 0.349 0.000
3 Ce 0.651 0.651 0.000
4 Pd 0.000 0.500 0.500
5 Pd 0.156 0.156 0.000
6 Pd 0.500 0.000 0.500
7 Pd 0.844 0.844 0.000



Record 2
A plane-wave DFT calculation with PBE was carried out for an optimized crystal structure of Li3CePd4.

## Properties
Raw total energy: -36.46 eV per cell

Lattice parameters (Å, degrees): 5.525 5.525 5.525 109.47 109.47 109.47
Sites, in units of the cell vectors:
1 Li 0.000 0.500 0.500
2 Li 0.500 0.000 0.500
3 Li 0.500 0.500 0.000
4 Ce 0.000 0.000 0.000
5 Pd 0.000 0.000 0.500
6 Pd 0.000 0.500 0.000
7 Pd 0.500 0.000 0.000
8 Pd 0.500 0.500 0.500



Record 3
A plane-wave DFT calculation with PBE was carried out for an optimized crystal structure of LiCe2Pd.

## Properties
Raw total energy: -19.00 eV per cell
Offset from the most stable computed form: 17.5 kJ/mol of atoms

Lattice parameters (Å, degrees): 11.476 11.476 11.476 15.10 15.10 15.10
Sites, in units of the cell vectors:
1 Li 0.000 0.000 0.000
2 Ce 0.092 0.092 0.092
3 Ce 0.908 0.908 0.908
4 Pd 0.500 0.500 0.500



Record 4
A plane-wave DFT calculation with PBE was carried out for an optimized crystal structure of Li4CePd2.

## Properties
Raw total energy: -26.40 eV per cell

Lattice parameters (Å, degrees): 8.757 8.757 3.987 90.00 90.00 154.51
Sites, in units of the cell vectors:
1 Li 0.177 0.823 0.000
2 Li 0.315 0.685 0.500
3 Li 0.685 0.315 0.500
4 Li 0.823 0.177 0.000
5 Ce 0.500 0.500 0.000
6 Pd 0.080 0.920 0.500
7 Pd 0.920 0.080 0.500



Record 5
A plane-wave DFT calculation with PBE was carried out for an optimized crystal structure of LiCePd.

## Properties
Raw total energy: -14.03 eV per cell
Offset from the most stable computed form: 11.1 kJ/mol of atoms

Lattice parameters (Å, degrees): 4.441 4.441 3.684 90.00 90.00 120.00
Sites, in units of the cell vectors:
1 Li 0.000 0.000 0.000
2 Ce 0.333 0.667 0.500
3 Pd 0.667 0.333 0.000



Record 6
A plane-wave DFT calculation with PBE was carried out for an optimized crystal structure of LiCe2Pd9.

## Properties
Raw total energy: -68.28 eV per cell

Lattice parameters (Å, degrees): 4.132 4.132 11.910 90.00 90.00 90.00
Sites, in units of the cell vectors:
1 Li 0.000 0.000 0.000
2 Ce 0.000 0.000 0.320
3 Ce 0.000 0.000 0.680
4 Pd 0.000 0.500 0.157
5 Pd 0.000 0.500 0.500
6 Pd 0.000 0.500 0.843
7 Pd 0.500 0.000 0.157
8 Pd 0.500 0.000 0.500
9 Pd 0.500 0.000 0.843
10 Pd 0.500 0.500 0.000
11 Pd 0.500 0.500 0.329
12 Pd 0.500 0.500 0.671



Number 1: spin magnetization 1.13 μB per formula unit. Number 2: spin magnetization 0.18 μB per formula unit. Number 3: spin magnetization 0.06 μB per formula unit. Number 4: spin magnetization 0.99 μB per formula unit. Number 5: spin magnetization 1.07 μB per formula unit. Number 6: spin magnetization 0.07 μB per formula unit.